An optimized crystal structure of Th4CdC2, computed with PBE.

VASP energy (eV for the cell shown): -50.5
Space-group type: No. 166
Formation enthalpy at 0 K (eV/atom): -0.2034
Spin magnetization (μB/f.u.): 0.00

abc: 3.6755 3.6755 14.9968
angles: 82.96 82.96 60.00
Closest atoms and distances in Å follow each position.
Atoms (fractional coordinates):
C (0.4288, 0.4288, 0.7135)  6 Th 2.56-2.59
C (0.5712, 0.5712, 0.2865)  6 Th 2.56-2.59
Th (0.1277, 0.1277, 0.6168)  3 C 2.56
Th (0.2710, 0.2710, 0.1870)  3 C 2.59
Th (0.7290, 0.7290, 0.8130)  3 C 2.59
Th (0.8723, 0.8723, 0.3832)  3 C 2.56
Cd (0.0000, 0.0000, 0.0000)  6 Th 3.49, 6 Cd 3.68

=====

An optimized crystal structure of Ba2ScV, computed with PBE.

VASP energy (eV for the cell shown): -16.2
Space-group type: No. 225
Formation enthalpy at 0 K (eV/atom): 0.7858
Spin magnetization (μB/f.u.): 3.31

abc: 5.8876 5.8876 5.8876
angles: 60.00 60.00 60.00
Closest atoms and distances in Å follow each position.
Atoms (fractional coordinates):
Sc (0.0000, 0.0000, 0.0000)  8 Ba 3.61
Ba (0.2500, 0.2500, 0.2500)  4 V 3.61, 4 Sc 3.61
Ba (0.7500, 0.7500, 0.7500)  4 Sc 3.61, 4 V 3.61
V (0.5000, 0.5000, 0.5000)  8 Ba 3.61

=====

An optimized crystal structure of Tl4Hg4Pb3, computed with PBE.

VASP energy (eV for the cell shown): -21.6
Space-group type: No. 2
Formation enthalpy at 0 K (eV/atom): 0.0161
Spin magnetization (μB/f.u.): 0.00

abc: 3.2917 5.3990 18.5554
angles: 98.36 94.82 89.99
Closest atoms and distances in Å follow each position.
Atoms (fractional coordinates):
Tl (0.5467, 0.5462, 0.0946)  3 Tl 3.29-3.46, 5 Pb 3.33-3.61, 4 Hg 3.54-3.55
Tl (0.4534, 0.4539, 0.9054)  3 Tl 3.29-3.46, 5 Pb 3.33-3.61, 4 Hg 3.54-3.55
Tl (0.8188, 0.8176, 0.6355)  6 Hg 3.26-3.59, 2 Tl 3.29, 4 Pb 3.54-3.55
Tl (0.1811, 0.1825, 0.3645)  6 Hg 3.26-3.59, 2 Tl 3.29, 4 Pb 3.54-3.55
Hg (0.0927, 0.0897, 0.1822)  2 Hg 3.29, 5 Pb 3.33-3.60, 5 Tl 3.33-3.55
Hg (0.2705, 0.2713, 0.5430)  5 Tl 3.26-3.59, 6 Hg 3.29-3.53, 1 Pb 3.30
Hg (0.7294, 0.7288, 0.4570)  5 Tl 3.26-3.59, 6 Hg 3.29-3.53, 1 Pb 3.30
Hg (0.9073, 0.9103, 0.8178)  2 Hg 3.29, 5 Pb 3.33-3.61, 5 Tl 3.33-3.55
Pb (0.6375, 0.6374, 0.2766)  2 Pb 3.29, 5 Hg 3.30-3.60, 5 Tl 3.33-3.55
Pb (0.3625, 0.3626, 0.7234)  2 Pb 3.29, 5 Hg 3.30-3.61, 5 Tl 3.33-3.55
Pb (0.0000, 0.0000, 0.0000)  2 Pb 3.29, 2 Hg 3.33, 8 Tl 3.60-3.61

=====

An optimized crystal structure of TcPbCl2, computed with PBE.

VASP energy (eV for the cell shown): -17.9
Space-group type: No. 166
Raw formation energy (eV/atom): -0.03
Spin magnetization (μB/f.u.): 0.97

abc: 10.7926 10.7926 10.7926
angles: 18.14 18.14 18.14
Closest atoms and distances in Å follow each position.
Atoms (fractional coordinates):
Pb (0.2500, 0.2500, 0.2500)  6 Pb 3.40
Tc (0.7500, 0.7500, 0.7500)  6 Cl 2.45
Cl (0.0372, 0.0372, 0.0372)  3 Tc 2.45
Cl (0.4628, 0.4628, 0.4628)  3 Tc 2.45

=====

An optimized crystal structure of ThMnAs2Ru, computed with PBE.

VASP energy (eV for the cell shown): -38.3
Space-group type: No. 119
Formation enthalpy at 0 K (eV/atom): -0.6291
Spin magnetization (μB/f.u.): 0.00

abc: 4.2039 4.2039 5.8455
angles: 111.07 111.07 90.00
Closest atoms and distances in Å follow each position.
Atoms (fractional coordinates):
Th (0.0000, 0.0000, 0.0000)  8 As 3.27, 4 Ru 3.28, 4 Mn 3.28
Mn (0.7500, 0.2500, 0.5000)  4 As 2.40
As (0.6342, 0.6342, 0.2684)  2 Mn 2.40, 2 Ru 2.40
As (0.3658, 0.3658, 0.7316)  2 Mn 2.40, 2 Ru 2.40
Ru (0.2500, 0.7500, 0.5000)  4 As 2.40

=====

An optimized crystal structure of HfSbAs2Br, computed with PBE.

VASP energy (eV for the cell shown): -24.7
Space-group type: No. 123
Raw formation energy (eV/atom): 0.07
Spin magnetization (μB/f.u.): 0.00

abc: 5.2720 5.2720 5.0407
angles: 90.00 90.00 90.00
Closest atoms and distances in Å follow each position.
Atoms (fractional coordinates):
Sb (0.5000, 0.5000, 0.5000)  8 As 3.65, 4 Br 3.73
As (0.0000, 0.5000, 0.0000)  2 Hf 2.64
As (0.5000, 0.0000, 0.0000)  2 Hf 2.64
Hf (0.0000, 0.0000, 0.0000)  2 Br 2.52, 4 As 2.64
Br (0.0000, 0.0000, 0.5000)  2 Hf 2.52